Entry 1:
This record from the Alexandria database describes a relaxed structure of Zn2SbPb. The functional is PBE.

Cell: 4.2417 4.2417 18.8206 Å, 90.00 90.00 120.00°
Space group R-3m (No. 166, hexagonal axes)
One atom of each set of equivalent atoms:
Zn  0.0000  0.0000  0.2392
Sb  0.0000  0.0000  0.5000
Pb  0.0000  0.0000  0.0000

uncorrected formation energy = 0.55 eV per formula unit
total energy = -2.456 eV/atom
energy relative to the lowest polymorph listed for this composition = 0.16 eV/f.u.

=====

Entry 2:
This record from the Alexandria database describes a relaxed structure of ZrSb2Pb. The functional is PBE.

Cell: 3.3846 3.3846 32.9083 Å, 90.00 90.00 120.00°
Space group R-3m (No. 166, hexagonal axes)
One atom of each set of equivalent atoms:
Zr  0.0000  0.0000  0.0000
Sb  0.0000  0.0000  0.2625
Pb  0.0000  0.0000  0.5000

uncorrected formation energy = -0.76 eV per formula unit
total energy = -5.316 eV/atom

=====

Entry 3:
This record from the Alexandria database describes a relaxed structure of ZrSbPb2. The functional is PBE.

Cell: 3.3605 3.3605 33.5627 Å, 90.00 90.00 120.00°
Space group R-3m (No. 166, hexagonal axes)
One atom of each set of equivalent atoms:
Zr  0.0000  0.0000  0.0000
Sb  0.0000  0.0000  0.5000
Pb  0.0000  0.0000  0.2549

uncorrected formation energy = 0.55 eV per formula unit
total energy = -4.884 eV/atom

=====

Entry 4:
This record from the Alexandria database describes a relaxed structure of ZrSb2Pb. The functional is PBE.

Cell: 4.442 4.442 10.562 Å, 90.00 90.00 90.00°
Space group I-4m2 (No. 119)
One atom of each set of equivalent atoms:
Zr  0.000  0.000  0.000
Sb  0.000  0.000  0.500
Sb  0.000  0.500  0.250
Pb  0.000  0.500  0.750

uncorrected formation energy = -0.25 eV per formula unit
total energy = -5.187 eV/atom

=====

Entry 5:
This record from the Alexandria database describes a relaxed structure of ZrSbPb3. The functional is PBE.

Cell: 5.680 5.680 5.680 Å, 90.00 90.00 90.00°
Space group Pm-3m (No. 221)
One atom of each set of equivalent atoms:
Zr  0.000  0.000  0.000
Sb  0.500  0.500  0.500
Pb  0.000  0.000  0.500

uncorrected formation energy = 2.65 eV per formula unit
total energy = -4.229 eV/atom
energy relative to the lowest polymorph listed for this composition = 0.00 eV/f.u.

=====

Entry 6:
This record from the Alexandria database describes a relaxed structure of ZrSbPb2. The functional is PBE.

Cell: 3.377 5.532 5.993 Å, 90.00 101.20 90.00°
Space group P2/m (No. 10)
One atom of each set of equivalent atoms:
Zr  0.000  0.000  0.000
Sb  0.000  0.000  0.500
Pb  0.366  0.500  0.236

uncorrected formation energy = 0.21 eV per formula unit
total energy = -4.970 eV/atom

=====

Entry 7:
This record from the Alexandria database describes a relaxed structure of ZrSbPb2. The functional is PBE.

Cell: 4.120 4.167 6.214 Å, 90.00 90.00 90.00°
Space group Pmmm (No. 47)
One atom of each set of equivalent atoms:
Zr  0.000  0.000  0.000
Sb  0.000  0.000  0.500
Pb  0.500  0.500  0.244

uncorrected formation energy = 0.05 eV per formula unit
total energy = -5.009 eV/atom

=====

Entry 8:
This record from the Alexandria database describes a relaxed structure of ZrSbPb2. The functional is PBE.

Cell: 4.175 4.769 10.702 Å, 90.00 90.00 90.00°
Space group Immm (No. 71)
One atom of each set of equivalent atoms:
Zr  0.000  0.000  0.000
Sb  0.000  0.000  0.500
Pb  0.000  0.500  0.259

uncorrected formation energy = -0.08 eV per formula unit
total energy = -5.043 eV/atom